No. 1
The following is a PBE calculation of crystalline SiHgCl3 at its relaxed geometry, from Alexandria via LeMat-Bulk.

Lattice parameters (Å, degrees): 6.544 7.388 7.805 89.92 89.98 89.96
Space group P1 (No. 1)
Symmetry-distinct sites (fractional):
Si  0.000  0.000  0.000 [1 per cell]
Si  0.500  0.317  0.500 [1 per cell]
Hg  0.096  0.357  0.000 [1 per cell]
Hg  0.596  0.960  0.500 [1 per cell]
Cl  0.117  0.868  0.215 [1 per cell]
Cl  0.117  0.868  0.785 [1 per cell]
Cl  0.186  0.365  0.500 [1 per cell]
Cl  0.617  0.449  0.285 [1 per cell]
Cl  0.617  0.449  0.714 [1 per cell]
Cl  0.686  0.953  0.000 [1 per cell]

Properties
VASP energy: -2.92 eV/atom
E above lowest polymorph: 0.0 meV/atom
E_form (uncorrected): -669 meV/atom

***

No. 2
The following is a PBE calculation of crystalline MgSn2O5 at its relaxed geometry, from Alexandria via LeMat-Bulk.

Lattice parameters (Å, degrees): 3.191 12.662 5.172 90.00 90.00 90.00
Space group Pmmn (No. 59, origin choice 2)
Symmetry-distinct sites (fractional):
Mg  0.250  0.250  0.131 [2 per cell]
Sn  0.250  0.605  0.399 [4 per cell]
O  0.250  0.063  0.350 [4 per cell]
O  0.250  0.142  0.838 [4 per cell]
O  0.250  0.750  0.623 [2 per cell]

Properties
VASP energy: -6.12 eV/atom
E above lowest polymorph: 67.9 meV/atom
E_form (uncorrected): -1821 meV/atom

***

No. 3
The following is a PBE calculation of crystalline Ba2YAlRu at its relaxed geometry, from Alexandria via LeMat-Bulk.

Lattice parameters (Å, degrees): 6.313 6.313 5.360 90.00 90.00 90.00
Space group P4/mmm (No. 123)
Symmetry-distinct sites (fractional):
Ba  0.000  0.500  0.000 [2 per cell]
Y  0.000  0.000  0.000 [1 per cell]
Al  0.000  0.000  0.500 [1 per cell]
Ru  0.500  0.500  0.500 [1 per cell]

Properties
Energy of formation: 1.47 eV/atom
VASP energy: -3.19 eV/atom

***

No. 4
The following is a PBE calculation of crystalline Er2OsRu at its relaxed geometry, from Alexandria via LeMat-Bulk.

Lattice parameters (Å, degrees): 3.371 3.371 6.754 90.00 90.00 90.00
Space group P4/mmm (No. 123)
Symmetry-distinct sites (fractional):
Er  0.000  0.000  0.250 [2 per cell]
Os  0.500  0.500  0.000 [1 per cell]
Ru  0.500  0.500  0.500 [1 per cell]

Properties
Energy of formation: -0.24 eV/atom
VASP energy: -7.65 eV/atom

***

No. 5
The following is a PBE calculation of crystalline La4Pr3Sm at its relaxed geometry, from Alexandria via LeMat-Bulk.

Lattice parameters (Å, degrees): 25.937 3.562 6.347 90.00 94.10 90.00
Space group C2/m (No. 12)
Symmetry-distinct sites (fractional):
La  0.106  0.000  0.231 [4 per cell]
La  0.220  0.500  0.243 [4 per cell]
Pr  0.000  0.000  0.500 [2 per cell]
Pr  0.144  0.000  0.743 [4 per cell]
Sm  0.000  0.500  0.000 [2 per cell]

Properties
Energy of formation: 0.19 eV/atom
VASP energy: -4.66 eV/atom
E above lowest polymorph: 183.1 meV/atom

***

No. 6
The following is a PBE calculation of crystalline ZrHgN2O at its relaxed geometry, from Alexandria via LeMat-Bulk.

Lattice parameters (Å, degrees): 4.135 4.135 4.044 90.00 90.00 90.00
Space group P4/mmm (No. 123)
Symmetry-distinct sites (fractional):
Zr  0.000  0.000  0.000 [1 per cell]
Hg  0.500  0.500  0.500 [1 per cell]
N  0.000  0.500  0.500 [2 per cell]
O  0.500  0.500  0.000 [1 per cell]

Properties
VASP energy: -5.08 eV/atom
E_form (uncorrected): 1009 meV/atom

***

No. 7
The following is a PBE calculation of crystalline Zr2TaNiH at its relaxed geometry, from Alexandria via LeMat-Bulk.

Lattice parameters (Å, degrees): 4.651 4.651 3.490 90.00 90.00 90.00
Space group P4/mmm (No. 123)
Symmetry-distinct sites (fractional):
Zr  0.000  0.500  0.000 [2 per cell]
Ta  0.000  0.000  0.500 [1 per cell]
Ni  0.500  0.500  0.500 [1 per cell]
H  0.500  0.500  0.000 [1 per cell]

Properties
VASP energy: -7.75 eV/atom

***

No. 8
The following is a PBE calculation of crystalline RbSrZnO2 at its relaxed geometry, from Alexandria via LeMat-Bulk.

Lattice parameters (Å, degrees): 7.978 6.227 7.402 90.00 116.87 90.00
Space group P2/c (No. 13)
Symmetry-distinct sites (fractional):
Rb  0.000  0.210  0.250 [2 per cell]
Sr  0.500  0.499  0.750 [2 per cell]
Zn  0.500  0.000  0.000 [2 per cell]
O  0.398  0.265  0.450 [4 per cell]

Properties
VASP energy: -4.29 eV/atom
E_form (uncorrected): -1520 meV/atom